DFT (PBEsol) results for a relaxed structure of Rb3Cu5O4.

Output
Theoretical density ... 4.4 g cm⁻³
Formation energy from raw total energies ... -810 meV per atom
Calculated volume ... 954.9 Å³/cell

a = 7.2031 Å, b = 9.8311 Å, c = 14.0936 Å
α = 106.90°, β = 90.00°, γ = 90.00°
Positions (direct):
O1 0.5735 0.1079 0.3985
O2 0.1889 0.5055 0.8895
O3 0.6599 0.6358 0.8792
O4 0.3111 0.5055 0.3895
O5 0.0474 0.9709 0.3696
O6 0.1599 0.3642 0.6208
O7 0.9526 0.0291 0.6304
O8 0.9265 0.1079 0.8985
O9 0.4526 0.9709 0.8696
O10 0.6889 0.4945 0.6105
O11 0.8401 0.6358 0.3792
O12 0.3401 0.3642 0.1208
O13 0.0735 0.8921 0.1015
O14 0.8111 0.4945 0.1105
O15 0.4265 0.8921 0.6015
O16 0.5474 0.0291 0.1304
Cu1 0.0787 0.5676 0.3801
Cu2 0.4448 0.1995 0.1324
Cu3 0.8082 0.0400 0.3817
Cu4 0.3082 0.9600 0.1183
Cu5 0.3256 0.4357 0.2565
Cu6 0.5787 0.4324 0.1199
Cu7 0.4213 0.5676 0.8801
Cu8 0.9448 0.8005 0.3676
Cu9 0.6744 0.5643 0.7435
Cu10 0.5557 0.0690 0.2650
Cu11 0.0557 0.9310 0.2350
Cu12 0.5552 0.8005 0.8676
Cu13 0.6918 0.0400 0.8817
Cu14 0.0552 0.1995 0.6324
Cu15 0.9213 0.4324 0.6199
Cu16 0.1744 0.4357 0.7565
Cu17 0.8256 0.5643 0.2435
Cu18 0.1918 0.9600 0.6183
Cu19 0.9443 0.0690 0.7650
Cu20 0.4443 0.9310 0.7350
Rb1 0.9203 0.1770 0.1081
Rb2 0.7828 0.7700 0.5851
Rb3 0.7172 0.7700 0.0851
Rb4 0.3321 0.6035 0.5941
Rb5 0.1679 0.6035 0.0941
Rb6 0.4203 0.8230 0.3919
Rb7 0.5797 0.1770 0.6081
Rb8 0.2172 0.2300 0.4149
Rb9 0.2828 0.2300 0.9149
Rb10 0.0797 0.8230 0.8919
Rb11 0.8321 0.3965 0.9059
Rb12 0.6679 0.3965 0.4059